# Rb4Cd2Ag

Crystalline Rb4Cd2Ag at its relaxed geometry (PBE, Alexandria).

```
7
Lattice="-3.4795 3.4795 8.8263 3.4795 -3.4795 8.8263 3.4795 3.4795 -8.8263" Properties=species:S:1:pos:R:3 pbc="T T T"
Rb 3.4795 0.0000 0.0000
Rb 0.0000 0.0000 3.5193
Rb 0.0000 3.4795 0.0000
Rb 0.0000 0.0000 14.1333
Cd 0.0000 0.0000 7.2766
Cd 0.0000 0.0000 10.3760
Ag 0.0000 0.0000 0.0000
```

Values from the calculation:
space group: I4/mmm
formation energy from the elements: 0.74 eV per formula unit
distance to the lowest polymorph of the same formula: 91 meV per atom
calculated density: 2.62 g cm⁻³
volume: 427.4 Å³/f.u.

---

# Rb2CdAg2

Crystalline Rb2CdAg2 at its relaxed geometry (PBE, Alexandria).

```
10
Lattice="5.8370 -3.5398 0.0000 5.8370 3.5398 0.0000 -1.6853 0.0000 8.4973" Properties=species:S:1:pos:R:3 pbc="T T T"
Rb 1.4732 0.9799 1.1324
Rb 0.6306 -0.9799 5.3810
Rb 9.3581 0.9799 3.1163
Rb 8.5154 -0.9799 7.3649
Cd 5.4157 0.5635 2.1243
Cd 4.5730 -0.5635 6.3730
Ag 3.3568 1.0516 4.1755
Ag 7.4745 1.0516 0.0732
Ag 2.5141 -1.0516 8.4241
Ag 6.6319 -1.0516 4.3218
```

Values from the calculation:
space group: C2/c
formation energy from the elements: 0.08 eV per formula unit
distance to the lowest polymorph of the same formula: 45 meV per atom
calculated density: 4.72 g cm⁻³
volume: 175.6 Å³/f.u.

---

# Rb2Cd3Ag

Crystalline Rb2Cd3Ag at its relaxed geometry (PBE, Alexandria).

```
6
Lattice="5.5310 -3.2492 0.0000 5.5310 3.2492 0.0000 -3.6561 0.0000 5.3439" Properties=species:S:1:pos:R:3 pbc="T T T"
Rb 0.0131 0.0000 2.0263
Rb 7.3927 0.0000 3.3177
Cd 2.7655 1.6246 0.0000
Cd 2.7655 -1.6246 0.0000
Cd 5.5310 0.0000 0.0000
Ag 3.7029 0.0000 2.6720
```

Values from the calculation:
space group: C2/m
formation energy from the elements: -0.14 eV per formula unit
distance to the lowest polymorph of the same formula: 0 meV per atom
calculated density: 5.33 g cm⁻³
volume: 192.1 Å³/f.u.

---

# Rb4Cd5Ag

Crystalline Rb4Cd5Ag at its relaxed geometry (PBE, Alexandria).

```
10
Lattice="-5.4040 5.4040 3.6300 5.4040 -5.4040 3.6300 5.4040 5.4040 -3.6300" Properties=species:S:1:pos:R:3 pbc="T T T"
Rb 3.2941 0.7581 0.0000
Rb 4.6459 -2.1099 3.6300
Rb 0.7581 7.5139 0.0000
Rb 2.1099 4.6459 3.6300
Cd 0.0000 0.0000 1.4220
Cd 6.1786 3.3575 0.0721
Cd 3.3575 4.6295 0.0721
Cd 2.0466 0.7745 3.7021
Cd -0.7745 2.0466 3.7021
Ag 0.0000 0.0000 5.8096
```

Values from the calculation:
space group: I4
formation energy from the elements: -0.06 eV per formula unit
calculated density: 3.96 g cm⁻³
volume: 424.0 Å³/f.u.

---

- Number 2 is which compound?
  Rb2CdAg2

---

- Which value of volume does entry 4 give?
  424.0 Å³/f.u.

---

- Which value of formation energy from the elements does entry 3 give?
  -0.14 eV per formula unit